PBE+U Zr2MoF, relaxed; space-group type = Fm-3m, No. 225; ΔE to the lowest computed polymorph = 346 meV per atom
1.0
-3.581 -2.390 1.794
-2.353 1.711 3.645
-4.359 1.559 -0.563
Mo Zr F
1 2 1
direct
0.500 0.500 0.500
0.250 0.250 0.250
0.750 0.750 0.750
0.000 0.000 0.000